Density functional theory data (GGA-PBE) for crystalline Sb3BrN at its relaxed geometry.

Structure (POSCAR):
```
Sb3BrN
1.0
-2.914 0.884 3.832
-1.787 -4.546 -0.310
3.503 -1.584 3.029
Sb N Br
3 1 1
direct
0.500 0.000 0.000 Sb
0.000 0.500 0.000 Sb
0.000 0.000 0.500 Sb
0.000 0.000 0.000 N
0.500 0.500 0.500 Br
```

## Properties
Formation energy without anion corrections ... 704 meV per atom
Total magnetic moment ... 0.0 μB per formula unit
DOS at the Fermi energy ... 7.02 states/eV/cell
ΔE to the lowest computed polymorph ... 0.0 kJ/mol of formula units
Final energy ... -18.846 eV for the cell shown


Density functional theory data (GGA-PBE) for crystalline SbBr4N2 at its relaxed geometry.

Structure (POSCAR):
```
SbBr4N2
1.0
3.922 0.000 -0.656
-0.094 6.946 -0.561
-0.698 0.232 7.879
Br N Sb
4 2 1
direct
0.078 0.631 0.156 Br
0.619 0.141 0.238 Br
0.381 0.859 0.762 Br
0.922 0.369 0.844 Br
0.300 0.270 0.600 N
0.700 0.730 0.400 N
0.000 0.000 0.000 Sb
```

## Properties
Formation energy without anion corrections ... 1202 meV per atom
Total magnetic moment ... 5.0 μB per formula unit
DOS at the Fermi energy ... 1.88 states/eV/cell
Final energy ... -19.049 eV for the cell shown


Please write out number 2 again, unchanged.
Density functional theory data (GGA-PBE) for crystalline SbBr4N2 at its relaxed geometry.

Structure (POSCAR):
```
SbBr4N2
1.0
3.922 0.000 -0.656
-0.094 6.946 -0.561
-0.698 0.232 7.879
Br N Sb
4 2 1
direct
0.078 0.631 0.156 Br
0.619 0.141 0.238 Br
0.381 0.859 0.762 Br
0.922 0.369 0.844 Br
0.300 0.270 0.600 N
0.700 0.730 0.400 N
0.000 0.000 0.000 Sb
```

## Properties
Formation energy without anion corrections ... 1202 meV per atom
Total magnetic moment ... 5.0 μB per formula unit
DOS at the Fermi energy ... 1.88 states/eV/cell
Final energy ... -19.049 eV for the cell shown